11
Lattice="4.449 -3.378 0.000 4.449 3.378 0.000 -0.116 0.000 4.547" Properties=species:S:1:pos:R:3 comment="TiCu2F8 | the Alexandria database | PBE | optimized geometry" magnetic_moment_mub_per_atom=0.18 spacegroup="No. 12" mass_density_g_cm3=3.97 total_energy_ev_per_cell=-56.415 raw_formation_energy_ev_per_atom=-2.305 pbc="T T T"
Ti 0.000 0.000 0.000
Cu 3.310 0.000 3.391
Cu 5.471 0.000 1.156
F 3.452 2.041 3.546
F 1.394 0.000 3.373
F 5.329 2.041 1.002
F 3.589 0.000 1.166
F 5.193 0.000 3.381
F 3.452 -2.041 3.546
F 7.388 0.000 1.174
F 5.329 -2.041 1.002

4
Lattice="0.000 3.026 3.026 3.026 0.000 3.026 3.026 3.026 0.000" Properties=species:S:1:pos:R:3 comment="Ti2CuF | the Alexandria database | PBE | optimized geometry" magnetic_moment_mub_per_atom=0.00 spacegroup="No. 225" mass_density_g_cm3=5.34 total_energy_ev_per_cell=-23.359 raw_formation_energy_ev_per_atom=-0.400 de_polymorph_mev_per_atom=24.0 pbc="T T T"
Ti 1.513 1.513 1.513
Ti 4.539 4.539 4.539
Cu 0.000 0.000 0.000
F 3.026 3.026 3.026

5
Lattice="4.063 0.000 0.000 0.000 4.063 0.000 0.000 0.000 4.063" Properties=species:S:1:pos:R:3 comment="TiCuF3 | the Alexandria database | PBE | optimized geometry" magnetic_moment_mub_per_atom=0.39 spacegroup="No. 221" mass_density_g_cm3=4.17 total_energy_ev_per_cell=-24.055 raw_formation_energy_ev_per_atom=-1.290 de_polymorph_mev_per_atom=624.8 pbc="T T T"
Ti 0.000 0.000 0.000
Cu 2.032 2.032 2.032
F 0.000 2.032 2.032
F 2.032 0.000 2.032
F 2.032 2.032 0.000

16
Lattice="5.014 0.000 0.000 -2.507 4.342 0.000 0.000 0.000 9.276" Properties=species:S:1:pos:R:3 comment="TiCuF6 | the Alexandria database | PBE | optimized geometry" magnetic_moment_mub_per_atom=0.13 spacegroup="No. 163" mass_density_g_cm3=3.71 total_energy_ev_per_cell=-88.819 raw_formation_energy_ev_per_atom=-2.649 pbc="T T T"
Ti 0.000 0.000 0.000
Ti 0.000 0.000 4.638
Cu 0.000 2.895 2.319
Cu 2.507 1.447 6.957
F -0.649 1.401 1.101
F -1.618 3.079 3.537
F 0.649 1.401 3.537
F -0.969 4.204 1.101
F 1.538 0.138 5.739
F 0.889 1.263 8.175
F 1.618 3.079 1.101
F 0.969 4.204 3.537
F 3.476 0.138 8.175
F 1.858 2.941 5.739
F 4.125 1.263 5.739
F 3.156 2.941 8.175

5
Lattice="4.721 0.000 0.000 0.000 4.721 0.000 0.000 0.000 4.721" Properties=species:S:1:pos:R:3 comment="TiCu3F | the Alexandria database | PBE | optimized geometry" magnetic_moment_mub_per_atom=0.24 spacegroup="No. 221" mass_density_g_cm3=4.06 total_energy_ev_per_cell=-16.572 raw_formation_energy_ev_per_atom=1.097 de_polymorph_mev_per_atom=798.3 pbc="T T T"
Ti 0.000 0.000 0.000
Cu 0.000 0.000 2.360
Cu 0.000 2.360 0.000
Cu 2.360 0.000 0.000
F 2.360 2.360 2.360

5
Lattice="4.164 0.000 0.000 0.000 4.164 0.000 0.000 0.000 4.164" Properties=species:S:1:pos:R:3 comment="TiCu3F | the Alexandria database | PBE | optimized geometry" magnetic_moment_mub_per_atom=0.46 spacegroup="No. 221" mass_density_g_cm3=5.92 total_energy_ev_per_cell=-20.563 raw_formation_energy_ev_per_atom=0.298 de_polymorph_mev_per_atom=0.0 pbc="T T T"
Ti 0.000 0.000 0.000
Cu 0.000 2.082 2.082
Cu 2.082 0.000 2.082
Cu 2.082 2.082 0.000
F 2.082 2.082 2.082

4
Lattice="0.000 3.002 3.002 3.002 0.000 3.002 3.002 3.002 0.000" Properties=species:S:1:pos:R:3 comment="TiCu2F | the Alexandria database | PBE | optimized geometry" magnetic_moment_mub_per_atom=0.00 spacegroup="No. 225" mass_density_g_cm3=5.95 total_energy_ev_per_cell=-17.999 raw_formation_energy_ev_per_atom=-0.010 de_polymorph_mev_per_atom=410.2 pbc="T T T"
Ti 0.000 0.000 0.000
Cu 1.501 1.501 1.501
Cu 4.504 4.504 4.504
F 3.002 3.002 3.002

11
Lattice="3.968 -3.801 0.000 3.968 3.801 0.000 -1.010 0.000 4.817" Properties=species:S:1:pos:R:3 comment="TiCu2F8 | the Alexandria database | PBE | optimized geometry" magnetic_moment_mub_per_atom=0.18 spacegroup="No. 12" mass_density_g_cm3=3.74 total_energy_ev_per_cell=-56.161 raw_formation_energy_ev_per_atom=-2.282 pbc="T T T"
Ti 0.000 0.000 0.000
Cu 2.008 0.000 2.489
Cu 4.918 0.000 2.328
F 2.190 2.535 3.641
F 0.586 0.000 3.769
F 4.736 2.535 1.176
F 3.360 0.000 1.187
F 3.566 0.000 3.630
F 2.190 -2.535 3.641
F 6.340 0.000 1.048
F 4.736 -2.535 1.176

8
Lattice="-2.366 2.366 5.805 2.366 -2.366 5.805 2.366 2.366 -5.805" Properties=species:S:1:pos:R:3 comment="Ti2CuF | the Alexandria database | PBE | optimized geometry" magnetic_moment_mub_per_atom=0.00 spacegroup="No. 122" mass_density_g_cm3=4.55 total_energy_ev_per_cell=-46.909 raw_formation_energy_ev_per_atom=-0.424 de_polymorph_mev_per_atom=0.0 pbc="T T T"
Ti 3.550 0.834 -1.451
Ti 0.834 1.183 1.451
Ti -1.183 1.532 4.354
Ti 1.532 1.183 7.256
Cu 2.366 0.000 2.903
Cu 0.000 0.000 5.805
F 0.000 0.000 0.000
F 0.000 2.366 2.903

12
Lattice="2.665 -5.064 0.000 2.665 5.064 0.000 0.000 0.000 6.398" Properties=species:S:1:pos:R:3 comment="TiCu3F8 | the Alexandria database | PBE | optimized geometry" magnetic_moment_mub_per_atom=0.08 spacegroup="No. 21" mass_density_g_cm3=3.76 total_energy_ev_per_cell=-60.154 raw_formation_energy_ev_per_atom=-2.083 pbc="T T T"
Ti 0.000 0.000 0.000
Cu 0.000 0.000 3.199
Cu 1.332 2.532 1.736
Cu 1.332 -2.532 4.662
F 2.665 3.119 0.000
F 2.665 3.103 3.199
F 1.301 0.215 1.349
F 1.301 -0.215 5.049
F 4.029 0.215 5.049
F 4.029 -0.215 1.349
F 2.665 -3.103 3.199
F 2.665 -3.119 0.000

11
Lattice="5.157 -3.034 0.000 5.157 3.034 0.000 -0.090 0.000 5.165" Properties=species:S:1:pos:R:3 comment="Ti2CuF8 | the Alexandria database | PBE | optimized geometry" magnetic_moment_mub_per_atom=0.09 spacegroup="No. 12" mass_density_g_cm3=3.20 total_energy_ev_per_cell=-66.308 raw_formation_energy_ev_per_atom=-2.859 pbc="T T T"
Ti 2.439 0.000 0.003
Ti 7.785 0.000 5.162
Cu 5.112 0.000 2.582
F 3.482 1.442 0.950
F 1.127 0.000 1.222
F 3.724 0.000 3.824
F 6.742 1.442 4.215
F 3.482 -1.442 0.950
F 6.500 0.000 1.341
F 9.097 0.000 3.943
F 6.742 -1.442 4.215

8
Lattice="-3.480 3.480 2.230 3.480 -3.480 2.230 3.480 3.480 -2.230" Properties=species:S:1:pos:R:3 comment="TiCu2F | the Alexandria database | PBE | optimized geometry" magnetic_moment_mub_per_atom=0.23 spacegroup="No. 122" mass_density_g_cm3=5.96 total_energy_ev_per_cell=-39.280 raw_formation_energy_ev_per_atom=-0.420 de_polymorph_mev_per_atom=0.0 pbc="T T T"
Ti 0.000 0.000 0.000
Ti 0.000 3.480 1.115
Cu 1.740 -1.470 1.673
Cu 2.010 1.740 0.558
Cu 1.740 4.949 -0.558
Cu 1.470 1.740 2.788
F 3.480 0.000 1.115
F 0.000 0.000 2.230

18
Lattice="5.663 0.000 0.000 -2.831 4.904 0.000 0.000 0.000 11.487" Properties=species:S:1:pos:R:3 comment="TiTlCuF6 | the Alexandria database | PBE | optimized geometry" magnetic_moment_mub_per_atom=0.01 spacegroup="No. 163" mass_density_g_cm3=4.47 total_energy_ev_per_cell=-96.737 raw_formation_energy_ev_per_atom=-2.531 pbc="T T T"
Ti 0.000 3.269 2.872
Ti 2.831 1.635 8.616
Tl 0.000 0.000 0.000
Tl 0.000 0.000 5.744
Cu 0.000 3.269 8.616
Cu 2.831 1.635 2.872
F -0.921 1.991 1.789
F -1.567 3.111 3.955
F 0.921 1.991 3.955
F -0.647 4.706 1.789
F 2.185 0.198 7.533
F 1.264 1.793 9.698
F 1.567 3.111 1.789
F 0.647 4.706 3.955
F 3.478 0.198 9.698
F 1.911 2.913 7.533
F 4.399 1.793 7.533
F 3.752 2.913 9.698